[1]
Density functional theory data (PBE-GGA) for a relaxed structure of LaSc2Cu.

Cell and atoms, written as extended XYZ:
```
4
Lattice="0.0000 3.5562 3.5562 3.5562 0.0000 3.5562 3.5562 3.5562 0.0000" Properties=species:S:1:pos:R:3 pbc="T T T"
Cu 0.0000 0.0000 0.0000
Sc 5.3343 5.3343 5.3343
La 3.5562 3.5562 3.5562
Sc 1.7781 1.7781 1.7781
```

DFT formation energy = 0.202 eV/atom
relative energy among the computed polymorphs = 280 meV/atom
SG = Fm-3m (225)
calculated total energy = -20.88 eV/cell

[2]
Density functional theory data (PBE-GGA) for a relaxed structure of NaTl2In6Pb2.

Cell and atoms, written as extended XYZ:
```
11
Lattice="6.4567 1.4701 -0.0698 4.5399 7.3883 -2.2851 -1.1740 -5.9173 9.7009" Properties=species:S:1:pos:R:3 pbc="T T T"
Tl 4.0228 0.7128 6.0172
Na 2.6414 -2.2236 4.8156
In 6.8568 1.8518 4.4895
Pb -0.2636 -3.4785 6.4539
In 3.4608 -2.7524 7.9643
In 2.9659 1.0892 2.8565
In 7.6402 0.9386 7.4241
In 2.1825 2.0024 -0.0781
Tl 5.7999 2.2282 1.3288
Pb 10.0863 6.4195 0.8922
In 6.3619 5.6934 -0.6183
```

DFT formation energy = -0.017 eV/atom
SG = P-1 (2)
calculated total energy = -30.08 eV/cell

[3]
Density functional theory data (PBE-GGA) for a relaxed structure of VIrRu2.

Cell and atoms, written as extended XYZ:
```
8
Lattice="-1.4179 2.4041 -4.2861 0.6511 -5.0717 -0.4433 -4.1226 0.6777 3.4569" Properties=species:S:1:pos:R:3 pbc="T T T"
V -2.7227 1.9634 -2.8577
Ru -1.3574 0.8895 -0.8940
Ru -3.7471 -1.3768 0.7622
Ir -1.7302 -0.4481 -3.2725
V -3.4453 1.2910 0.8036
Ru -3.7493 -0.0853 -1.5580
Ru -4.7841 2.3528 -1.1690
Ir -1.7360 -1.7465 -0.9481
```

DFT formation energy = -0.283 eV/atom
relative energy among the computed polymorphs = 0 meV/atom
SG = P1 (1)
calculated total energy = -75.33 eV/cell

[4]
Density functional theory data (PBE-GGA) for a relaxed structure of BaCaAg3.

Cell and atoms, written as extended XYZ:
```
5
Lattice="5.5716 0.0000 0.0000 0.0000 5.5716 0.0000 0.0000 0.0000 5.5716" Properties=species:S:1:pos:R:3 pbc="T T T"
Ba 2.7858 2.7858 2.7858
Ag 2.7858 0.0000 0.0000
Ca 0.0000 0.0000 0.0000
Ag 0.0000 0.0000 2.7858
Ag 0.0000 2.7858 0.0000
```

DFT formation energy = 0.110 eV/atom
relative energy among the computed polymorphs = 393 meV/atom
SG = Pm-3m (221)
calculated total energy = -11.93 eV/cell

[5]
Density functional theory data (PBE-GGA) for a relaxed structure of HfGaO2F.

Cell and atoms, written as extended XYZ:
```
5
Lattice="-1.7993 -2.8749 1.8616 2.1901 -2.5825 -1.8714 2.6875 0.1872 2.8868" Properties=species:S:1:pos:R:3 pbc="T T T"
Ga 0.0000 0.0000 0.0000
F 1.3438 0.0936 1.4434
O -0.8997 -1.4374 0.9308
Hf 1.5391 -2.6351 1.4385
O 1.0950 -1.2913 -0.9357
```

SG = P4/mmm (123)
calculated total energy = -31.19 eV/cell
E_form (uncorrected) = -1.283 eV per atom

[6]
Density functional theory data (PBE-GGA) for a relaxed structure of Li2SiSn.

Cell and atoms, written as extended XYZ:
```
4
Lattice="3.3427 0.0000 0.0000 0.0000 3.3427 0.0000 0.0000 0.0000 6.2145" Properties=species:S:1:pos:R:3 pbc="T T T"
Li 0.0000 0.0000 1.7531
Sn 1.6714 1.6714 0.0000
Li 0.0000 0.0000 4.4614
Si 1.6714 1.6714 3.1072
```

relative energy among the computed polymorphs = 61 meV/atom
SG = P4/mmm (123)
calculated total energy = -13.73 eV/cell
E_form (uncorrected) = -0.119 eV per atom

Please write out number 1 again, unchanged.
Density functional theory data (PBE-GGA) for a relaxed structure of LaSc2Cu.

Cell and atoms, written as extended XYZ:
```
4
Lattice="0.0000 3.5562 3.5562 3.5562 0.0000 3.5562 3.5562 3.5562 0.0000" Properties=species:S:1:pos:R:3 pbc="T T T"
Cu 0.0000 0.0000 0.0000
Sc 5.3343 5.3343 5.3343
La 3.5562 3.5562 3.5562
Sc 1.7781 1.7781 1.7781
```

DFT formation energy = 0.202 eV/atom
relative energy among the computed polymorphs = 280 meV/atom
SG = Fm-3m (225)
calculated total energy = -20.88 eV/cell

> The highest calculated total energy belongs to which entry?

BaCaAg3

> Among the records above, which one has the lowest calculated total energy?

VIrRu2

> Number 1 is which compound?

LaSc2Cu